{"formula": "Na3Ho3VTe8", "functional": "PBE", "state": "relaxed", "spacegroup": "C2/m (12)", "formation_energy_uncorrected_ev_per_atom": -1.036, "lattice": [[7.382, -4.254, 0.000], [7.382, 4.254, 0.000], [-4.933, 0.000, 7.809]], "species": ["Na", "Na", "Na", "Ho", "Ho", "Ho", "V", "Te", "Te", "Te", "Te", "Te", "Te", "Te", "Te"], "fractional_positions": [[0.000, 0.000, 0.000], [0.000, 0.500, 0.000], [0.500, 0.000, 0.000], [0.000, 0.500, 0.500], [0.500, 0.000, 0.500], [0.500, 0.500, 0.500], [0.000, 0.000, 0.500], [0.227, 0.227, 0.716], [0.227, 0.763, 0.716], [0.237, 0.773, 0.284], [0.256, 0.256, 0.267], [0.744, 0.744, 0.733], [0.763, 0.227, 0.716], [0.773, 0.237, 0.284], [0.773, 0.773, 0.284]]}

=====

{"formula": "NaCoSiSb2", "functional": "PBE", "state": "relaxed", "spacegroup": "P4/mmm (123)", "formation_energy_uncorrected_ev_per_atom": 0.491, "lattice": [[4.834, 0.000, 0.000], [0.000, 4.834, 0.000], [0.000, 0.000, 5.023]], "species": ["Na", "Co", "Si", "Sb", "Sb"], "fractional_positions": [[0.000, 0.000, 0.000], [0.000, 0.000, 0.500], [0.500, 0.500, 0.000], [0.000, 0.500, 0.500], [0.500, 0.000, 0.500]]}

=====

{"formula": "BaBeAs2", "functional": "PBE", "state": "relaxed", "spacegroup": "P4/mmm (123)", "formation_enthalpy_0k_ev_per_atom": 0.17, "lattice": [[4.625, 0.000, 0.000], [0.000, 4.625, 0.000], [0.000, 0.000, 4.444]], "species": ["Ba", "Be", "As", "As"], "fractional_positions": [[0.000, 0.000, 0.000], [0.500, 0.500, 0.000], [0.000, 0.500, 0.500], [0.500, 0.000, 0.500]]}

=====

Number 1: VASP energy -4.499 eV/atom. Number 2: VASP energy -3.928 eV/atom. Number 3: VASP energy -3.568 eV/atom.